Bi5Pd12S2 | PBE | relaxed

ΔE_f (raw) in kJ/mol of formula units: -185.7
Energy in eV per atom: -4.84
Density of states at the Fermi level in states/eV per cell: 9.8

Cell and atoms, written as extended XYZ:
```
19
Lattice="7.350 -2.758 0.000 7.350 2.758 0.000 -2.097 0.000 9.566" Properties=species:S:1:pos:R:3 pbc="T T T"
Bi 0.000 0.000 0.000
Bi 4.311 0.000 1.915
Bi 3.330 0.000 6.652
Bi 9.274 0.000 2.915
Bi 8.293 0.000 7.652
Pd -0.941 0.000 6.715
Pd 3.953 1.415 4.334
Pd 2.932 1.365 9.098
Pd 8.651 1.415 5.233
Pd 9.673 1.365 0.468
Pd 7.021 0.000 1.348
Pd 5.583 0.000 8.218
Pd 2.932 -1.365 9.098
Pd 3.953 -1.415 4.334
Pd 9.673 -1.365 0.468
Pd 8.651 -1.415 5.233
Pd 13.545 0.000 2.852
S 6.302 1.254 4.783
S 6.302 -1.254 4.783
```